VASP calculation (PBE) on crystalline MnP2 at its relaxed geometry.

Cell: 7.845 7.845 3.187 Å, 90.00 90.00 154.39°
Fractional coordinates of all 6 atoms:
Mn (0.131, 0.869, 0.750)
Mn (0.869, 0.131, 0.250)
P (0.254, 0.746, 0.250)
P (0.443, 0.557, 0.750)
P (0.557, 0.443, 0.250)
P (0.746, 0.254, 0.750)

Results
- raw total energy (eV/atom) = -6.58
- calculated formation energy (meV per atom) = 84
- Fermi-level density of states (states/eV per cell) = 2.96
- total magnetic moment (Bohr magnetons per cell) = 5.83